Entry from the Alexandria database: crystalline RbZnHg2 at its relaxed geometry (GGA-PBE).

Cell: 5.111 5.111 5.041 Å, 90.00 90.00 90.00°
Sites, in units of the cell vectors:
1 Rb 0.000 0.000 0.000
2 Zn 0.500 0.500 0.000
3 Hg 0.000 0.500 0.500
4 Hg 0.500 0.000 0.500

Values from the calculation:
Calculated formation energy: 0.008 eV per atom
VASP energy: -2.81 eV per formula unit
Energy above the most stable polymorph in this dataset: 94.1 meV/atom

Entry from the Alexandria database: crystalline AlZnIn2 at its relaxed geometry (GGA-PBE).

Cell: 4.370 4.768 8.298 Å, 90.00 90.00 90.00°
Sites, in units of the cell vectors:
1 Al 0.000 0.000 0.000
2 Al 0.500 0.500 0.000
3 Zn 0.000 0.000 0.500
4 Zn 0.500 0.500 0.500
5 In 0.000 0.500 0.256
6 In 0.000 0.500 0.744
7 In 0.500 0.000 0.256
8 In 0.500 0.000 0.744

Values from the calculation:
Calculated formation energy: 0.159 eV per atom
VASP energy: -9.86 eV per formula unit

Entry from the Alexandria database: crystalline SrCe2Pr at its relaxed geometry (GGA-PBE).

Cell: 3.570 3.570 38.901 Å, 90.00 90.00 120.00°
Sites, in units of the cell vectors:
1 Sr 0.000 0.000 0.000
2 Sr 0.333 0.667 0.667
3 Sr 0.667 0.333 0.333
4 Ce 0.000 0.000 0.090
5 Ce 0.000 0.000 0.910
6 Ce 0.333 0.667 0.577
7 Ce 0.333 0.667 0.757
8 Ce 0.667 0.333 0.243
9 Ce 0.667 0.333 0.423
10 Pr 0.000 0.000 0.500
11 Pr 0.333 0.667 0.167
12 Pr 0.667 0.333 0.833

Values from the calculation:
Calculated formation energy: 0.328 eV per atom
VASP energy: -17.02 eV per formula unit

Entry from the Alexandria database: crystalline TbYTh2Sc at its relaxed geometry (GGA-PBE).

Cell: 8.407 3.457 11.554 Å, 90.00 109.71 90.00°
Sites, in units of the cell vectors:
1 Tb 0.051 0.250 0.272
2 Tb 0.949 0.750 0.728
3 Y 0.200 0.750 0.054
4 Y 0.800 0.250 0.946
5 Th 0.416 0.750 0.854
6 Th 0.442 0.750 0.363
7 Th 0.558 0.250 0.637
8 Th 0.584 0.250 0.146
9 Sc 0.190 0.750 0.544
10 Sc 0.810 0.250 0.456

Values from the calculation:
Calculated formation energy: 0.152 eV per atom
VASP energy: -31.51 eV per formula unit

Entry from the Alexandria database: crystalline Sm8FeSn2 at its relaxed geometry (GGA-PBE).

Cell: 9.445 9.445 6.858 Å, 109.03 109.03 33.41°
Sites, in units of the cell vectors:
1 Sm 0.005 0.005 0.237
2 Sm 0.209 0.209 0.137
3 Sm 0.360 0.360 0.661
4 Sm 0.408 0.408 0.229
5 Sm 0.592 0.592 0.771
6 Sm 0.640 0.640 0.339
7 Sm 0.791 0.791 0.863
8 Sm 0.995 0.995 0.763
9 Fe 0.500 0.500 0.000
10 Sn 0.172 0.172 0.637
11 Sn 0.828 0.828 0.363

Values from the calculation:
Calculated formation energy: -0.244 eV per atom
VASP energy: -56.91 eV per formula unit

Entry from the Alexandria database: crystalline K2TcAu at its relaxed geometry (GGA-PBE).

Cell: 7.843 4.527 9.211 Å, 90.00 106.42 90.00°
Sites, in units of the cell vectors:
1 K 0.000 0.000 0.000
2 K 0.176 0.000 0.533
3 K 0.500 0.500 0.000
4 K 0.676 0.500 0.533
5 Tc 0.255 0.500 0.266
6 Tc 0.755 0.000 0.266
7 Au 0.422 0.000 0.266
8 Au 0.922 0.500 0.266

Values from the calculation:
Calculated formation energy: 0.623 eV per atom
VASP energy: -13.35 eV per formula unit
Energy above the most stable polymorph in this dataset: 0.0 meV/atom

Entry from the Alexandria database: crystalline TaTi2Ni at its relaxed geometry (GGA-PBE).

Cell: 3.032 3.032 6.824 Å, 90.00 90.00 90.00°
Sites, in units of the cell vectors:
1 Ta 0.000 0.000 0.000
2 Ti 0.500 0.500 0.275
3 Ti 0.500 0.500 0.725
4 Ni 0.000 0.000 0.500

Values from the calculation:
Calculated formation energy: -0.178 eV per atom
VASP energy: -34.13 eV per formula unit
Energy above the most stable polymorph in this dataset: 0.0 meV/atom

Entry from the Alexandria database: crystalline InTc at its relaxed geometry (GGA-PBE).

Cell: 8.732 3.228 6.456 Å, 90.00 124.52 90.00°
Sites, in units of the cell vectors:
1 In 0.074 0.000 0.352
2 In 0.426 0.500 0.648
3 In 0.574 0.500 0.352
4 In 0.926 0.000 0.648
5 Tc 0.176 0.500 0.080
6 Tc 0.324 0.000 0.920
7 Tc 0.676 0.000 0.080
8 Tc 0.824 0.500 0.920

Values from the calculation:
Calculated formation energy: 0.279 eV per atom
VASP energy: -12.55 eV per formula unit

Entry from the Alexandria database: crystalline GaHgC2 at its relaxed geometry (GGA-PBE).

Cell: 5.960 5.960 5.960 Å, 90.00 90.00 90.00°
Sites, in units of the cell vectors:
1 Ga 0.000 0.000 0.000
2 Ga 0.000 0.500 0.500
3 Ga 0.500 0.000 0.500
4 Ga 0.500 0.500 0.000
5 Hg 0.000 0.000 0.500
6 Hg 0.000 0.500 0.000
7 Hg 0.500 0.000 0.000
8 Hg 0.500 0.500 0.500
9 C 0.250 0.250 0.250
10 C 0.250 0.250 0.750
11 C 0.250 0.750 0.250
12 C 0.250 0.750 0.750
13 C 0.750 0.250 0.250
14 C 0.750 0.250 0.750
15 C 0.750 0.750 0.250
16 C 0.750 0.750 0.750

Values from the calculation:
Calculated formation energy: 2.375 eV per atom
VASP energy: -12.28 eV per formula unit
Energy above the most stable polymorph in this dataset: 756.8 meV/atom

Entry from the Alexandria database: crystalline TiI3 at its relaxed geometry (GGA-PBE).

Cell: 7.815 7.815 7.815 Å, 90.00 90.00 90.00°
Sites, in units of the cell vectors:
1 Ti 0.000 0.000 0.000
2 Ti 0.000 0.500 0.500
3 Ti 0.500 0.000 0.500
4 Ti 0.500 0.500 0.000
5 I 0.000 0.000 0.500
6 I 0.000 0.500 0.000
7 I 0.250 0.250 0.250
8 I 0.250 0.250 0.750
9 I 0.250 0.750 0.250
10 I 0.250 0.750 0.750
11 I 0.500 0.000 0.000
12 I 0.500 0.500 0.500
13 I 0.750 0.250 0.250
14 I 0.750 0.250 0.750
15 I 0.750 0.750 0.250
16 I 0.750 0.750 0.750

Values from the calculation:
Formation energy (no corrections): 0.25 eV/atom
VASP energy: -11.53 eV per formula unit

Entry from the Alexandria database: crystalline Ta2FeRu at its relaxed geometry (GGA-PBE).

Cell: 5.536 8.358 2.833 Å, 90.00 108.16 90.00°
Sites, in units of the cell vectors:
1 Ta 0.250 0.250 0.000
2 Ta 0.250 0.750 0.000
3 Ta 0.750 0.250 0.000
4 Ta 0.750 0.750 0.000
5 Fe 0.000 0.000 0.500
6 Fe 0.500 0.500 0.500
7 Ru 0.000 0.500 0.500
8 Ru 0.500 0.000 0.500

Values from the calculation:
Calculated formation energy: -0.060 eV per atom
VASP energy: -41.68 eV per formula unit

Entry from the Alexandria database: crystalline Ta2CuAg at its relaxed geometry (GGA-PBE).

Cell: 2.923 4.891 9.384 Å, 90.00 90.00 90.00°
Sites, in units of the cell vectors:
1 Ta 0.000 0.000 0.000
2 Ta 0.000 0.500 0.244
3 Ta 0.500 0.000 0.744
4 Ta 0.500 0.500 0.500
5 Cu 0.000 0.000 0.508
6 Cu 0.500 0.500 0.008
7 Ag 0.000 0.500 0.775
8 Ag 0.500 0.000 0.275

Values from the calculation:
Calculated formation energy: 0.312 eV per atom
VASP energy: -29.41 eV per formula unit
Energy above the most stable polymorph in this dataset: 191.8 meV/atom

Entry from the Alexandria database: crystalline InCu2Ag2 at its relaxed geometry (GGA-PBE).

Cell: 3.598 3.598 13.958 Å, 90.00 90.00 90.00°
Sites, in units of the cell vectors:
1 In 0.000 0.000 0.000
2 In 0.500 0.500 0.500
3 Cu 0.000 0.500 0.250
4 Cu 0.000 0.500 0.750
5 Cu 0.500 0.000 0.250
6 Cu 0.500 0.000 0.750
7 Ag 0.000 0.000 0.393
8 Ag 0.000 0.000 0.607
9 Ag 0.500 0.500 0.107
10 Ag 0.500 0.500 0.893

Values from the calculation:
Calculated formation energy: 0.203 eV per atom
VASP energy: -15.62 eV per formula unit
Energy above the most stable polymorph in this dataset: 111.2 meV/atom